Entry w
Entry from the Alexandria database: a geometry-optimized LaTl2Hg2 structure (GGA-PBE).

The crystal system is orthorhombic. For the magnetic moment, the calculation gives 0.000 μB per formula unit. The space group is Imma, No. 74.

a = 16.9269 Å, b = 16.9269 Å, c = 16.9269 Å
α = 168.04°, β = 162.72°, γ = 21.07°
Last column: nearest neighbours and their distance in Å.
Sites, in units of the cell vectors:
La: 0.3165 0.0665 0.2500  10 Hg 3.43-3.45, 2 La 3.53, 2 Tl 3.71
La: 0.6835 0.9335 0.7500  10 Hg 3.43-3.45, 2 La 3.53, 2 Tl 3.71
Tl: 0.0444 0.7944 0.2500  8 Tl 3.38-3.53, 2 Hg 3.58
Tl: 0.4147 0.6647 0.7500  2 Hg 3.09, 4 Tl 3.38
Tl: 0.5853 0.3353 0.2500  2 Hg 3.09, 4 Tl 3.38
Tl: 0.9556 0.2056 0.7500  8 Tl 3.38-3.53, 2 Hg 3.58
Hg: 0.1378 0.3878 0.7500  1 Hg 3.00, 2 Tl 3.09
Hg: 0.2278 0.4778 0.7500  3 Hg 2.94-3.00
Hg: 0.7722 0.5222 0.2500  3 Hg 2.94-3.00
Hg: 0.8622 0.6122 0.2500  1 Hg 3.00, 2 Tl 3.09

=====

Entry x
Entry from the Alexandria database: a geometry-optimized LaTl2Hg2 structure (GGA-PBE).

The crystal system is tetragonal. For the magnetic moment, the calculation gives 0.000 μB per formula unit. The space group is I4/mmm, No. 139.

a = 7.2237 Å, b = 7.2237 Å, c = 7.2237 Å
α = 141.56°, β = 141.56°, γ = 55.50°
Last column: nearest neighbours and their distance in Å.
Sites, in units of the cell vectors:
La: 0.0000 0.0000 0.0000  8 Hg 3.63, 8 Tl 3.98
Tl: 0.2500 0.7500 0.5000  4 Hg 3.00
Tl: 0.7500 0.2500 0.5000  4 Hg 3.00
Hg: 0.3932 0.3932 0.0000  1 Hg 2.73, 4 Tl 3.00
Hg: 0.6068 0.6068 0.0000  1 Hg 2.73, 4 Tl 3.00

=====

Entry y
Entry from the Alexandria database: a geometry-optimized LaTl2Hg2 structure (GGA-PBE).

The crystal system is tetragonal. For the magnetic moment, the calculation gives 0.000 μB per formula unit. The space group is P4/mbm, No. 127.

a = 8.3750 Å, b = 8.3750 Å, c = 4.1677 Å
α = 90.00°, β = 90.00°, γ = 90.00°
Last column: nearest neighbours and their distance in Å.
Sites, in units of the cell vectors:
La: 0.0000 0.0000 0.0000  4 Hg 3.32, 8 Tl 3.71
La: 0.5000 0.5000 0.0000  4 Hg 3.32, 8 Tl 3.71
Tl: 0.1806 0.3194 0.5000  6 Hg 3.12-3.33
Tl: 0.3194 0.8194 0.5000  6 Hg 3.12-3.33
Tl: 0.6806 0.1806 0.5000  6 Hg 3.12-3.33
Tl: 0.8194 0.6806 0.5000  6 Hg 3.12-3.33
Hg: 0.1239 0.6239 0.0000  1 Hg 2.93, 2 Tl 3.12
Hg: 0.3761 0.1239 0.0000  1 Hg 2.93, 2 Tl 3.12
Hg: 0.6239 0.8761 0.0000  1 Hg 2.93, 2 Tl 3.12
Hg: 0.8761 0.3761 0.0000  1 Hg 2.93, 2 Tl 3.12

=====

Entry z
Entry from the Alexandria database: a geometry-optimized LaTl2Hg2 structure (GGA-PBE).

The crystal system is tetragonal. For the magnetic moment, the calculation gives 0.551 μB per formula unit. The space group is P4/mbm, No. 127.

a = 8.7859 Å, b = 8.7859 Å, c = 3.7086 Å
α = 90.00°, β = 90.00°, γ = 90.00°
Last column: nearest neighbours and their distance in Å.
Sites, in units of the cell vectors:
La: 0.0000 0.0000 0.0000  4 Tl 3.44, 2 La 3.71, 8 Hg 3.75
La: 0.5000 0.5000 0.0000  4 Tl 3.44, 2 La 3.71, 8 Hg 3.75
Tl: 0.1304 0.3696 0.0000  6 Hg 3.11-3.24, 1 Tl 3.24, 2 La 3.44
Tl: 0.3696 0.8696 0.0000  6 Hg 3.11-3.24, 1 Tl 3.24, 2 La 3.44
Tl: 0.6304 0.1304 0.0000  6 Hg 3.11-3.24, 1 Tl 3.24, 2 La 3.44
Tl: 0.8696 0.6304 0.0000  6 Hg 3.11-3.24, 1 Tl 3.24, 2 La 3.44
Hg: 0.1691 0.6691 0.5000  6 Tl 3.11-3.24
Hg: 0.3309 0.1691 0.5000  6 Tl 3.11-3.24
Hg: 0.6691 0.8309 0.5000  6 Tl 3.11-3.24
Hg: 0.8309 0.3309 0.5000  6 Tl 3.11-3.24

=====

Computed relative energies in units of meV per atom: entry w 0; entry x 65; entry y 54; entry z 104

=====

Entry w
Entry from the Alexandria database: a geometry-optimized La6TlHg2 structure (GGA-PBE).

The crystal system is trigonal. For the magnetic moment, the calculation gives 0.000 μB per formula unit. The space group is P-3m1, No. 164.

a = 5.6526 Å, b = 5.6526 Å, c = 10.6122 Å
α = 90.00°, β = 90.00°, γ = 120.00°
Last column: nearest neighbours and their distance in Å.
Sites, in units of the cell vectors:
La: 0.0000 0.0000 0.1736  1 Tl 3.46, 3 Hg 3.53, 7 La 3.68-3.76
La: 0.0000 0.0000 0.8264  1 Tl 3.46, 3 Hg 3.53, 7 La 3.68-3.76
La: 0.3333 0.6667 0.0027  1 Hg 3.23, 3 La 3.26
La: 0.3333 0.6667 0.3806  4 Hg 3.37-3.38, 3 Tl 3.50
La: 0.6667 0.3333 0.6194  4 Hg 3.37-3.38, 3 Tl 3.50
La: 0.6667 0.3333 0.9973  1 Hg 3.23, 3 La 3.26
Tl: 0.0000 0.0000 0.5000  8 La 3.46-3.50
Hg: 0.3333 0.6667 0.6987  8 La 3.23-3.53
Hg: 0.6667 0.3333 0.3013  8 La 3.23-3.53

=====

Entry x
Entry from the Alexandria database: a geometry-optimized La6TlHg2 structure (GGA-PBE).

The crystal system is orthorhombic. For the magnetic moment, the calculation gives 0.000 μB per formula unit. The space group is Immm, No. 71.

a = 9.2316 Å, b = 9.2316 Å, c = 9.2316 Å
α = 111.79°, β = 111.60°, γ = 105.11°
Last column: nearest neighbours and their distance in Å.
Sites, in units of the cell vectors:
La: 0.0466 0.8240 0.2226  3 Hg 3.15-3.41, 1 Tl 3.49
La: 0.2496 0.5536 0.3039  2 Hg 3.23-3.41, 2 Tl 3.46-3.47
La: 0.2496 0.9457 0.6961  2 Hg 3.23-3.41, 2 Tl 3.46-3.47
La: 0.2758 0.3144 0.5902  3 Hg 3.34-3.37, 1 Tl 3.45
La: 0.2758 0.6856 0.9614  3 Hg 3.34-3.37, 1 Tl 3.45
La: 0.3987 0.1760 0.2226  3 Hg 3.15-3.41, 1 Tl 3.49
La: 0.6013 0.8240 0.7774  3 Hg 3.15-3.41, 1 Tl 3.49
La: 0.7242 0.3144 0.0386  3 Hg 3.34-3.37, 1 Tl 3.45
La: 0.7242 0.6856 0.4098  3 Hg 3.34-3.37, 1 Tl 3.45
La: 0.7504 0.0543 0.3039  2 Hg 3.23-3.41, 2 Tl 3.46-3.47
La: 0.7504 0.4464 0.6961  2 Hg 3.23-3.41, 2 Tl 3.46-3.47
La: 0.9534 0.1760 0.7774  3 Hg 3.15-3.41, 1 Tl 3.49
Tl: 0.0000 0.5000 0.5000  8 La 3.45-3.46, 2 Hg 3.64
Tl: 0.5000 0.0000 0.5000  8 La 3.47-3.49
Hg: 0.0000 0.1489 0.1489  1 Hg 3.08, 8 La 3.23-3.41
Hg: 0.0000 0.8511 0.8511  1 Hg 3.08, 8 La 3.23-3.41
Hg: 0.3672 0.3672 0.0000  1 Hg 2.98, 2 La 3.15
Hg: 0.6328 0.6328 0.0000  1 Hg 2.98, 2 La 3.15

=====

Computed relative energies in units of meV per atom: entry w 0; entry x 20